Record 1
# Hg2BiP, optimized geometry, DFT PBE
data_Hg2BiP
_chemical_formula_sum 'Hg8 Bi4 P4'
_cell_length_a 7.304
_cell_length_b 7.304
_cell_length_c 7.304
_cell_angle_alpha 90.00
_cell_angle_beta 90.00
_cell_angle_gamma 90.00
_symmetry_space_group_name_H-M 'F m -3 m'
_symmetry_Int_Tables_number 225
_symmetry_space_group_name_Hall '-F 4 2 3'
loop_
_atom_site_label
_atom_site_fract_x
_atom_site_fract_y
_atom_site_fract_z
Hg1 0.250 0.250 0.250
Bi1 0.000 0.000 0.000
P1 0.000 0.000 0.500
# energy relative to the elements: 516 meV/atom
# magnetic moment: 0.000 μB per atom
# V: 389.7 Å³/cell

---

Record 2
# RbTlInBi, optimized geometry, DFT PBE
data_RbTlInBi
_chemical_formula_sum 'Rb4 Tl4 In4 Bi4'
_cell_length_a 8.247
_cell_length_b 8.247
_cell_length_c 8.247
_cell_angle_alpha 90.00
_cell_angle_beta 90.00
_cell_angle_gamma 90.00
_symmetry_space_group_name_H-M 'F -4 3 m'
_symmetry_Int_Tables_number 216
_symmetry_space_group_name_Hall 'F -4 2 3'
loop_
_atom_site_label
_atom_site_fract_x
_atom_site_fract_y
_atom_site_fract_z
Rb1 0.000 0.000 0.000
Tl1 0.250 0.250 0.250
In1 0.250 0.250 0.750
Bi1 0.000 0.000 0.500
# energy relative to the elements: -110 meV/atom
# magnetic moment: 0.000 μB per atom
# V: 560.8 Å³/cell